{
  "formula": "DyWO4",
  "functional": "PBE with a Hubbard U",
  "state": "optimized geometry",
  "crystal_system": "tetragonal",
  "total_magnetization_mub_per_fu": 1.0,
  "energy_ev_per_atom": -7.95,
  "lattice_angstrom": [[-2.637, 2.637, 5.534], [2.637, -2.637, 5.534], [2.637, 2.637, -5.534]],
  "species": ["Dy", "Dy", "W", "W", "O", "O", "O", "O", "O", "O", "O", "O"],
  "frac_coords": [[0.375, 0.125, 0.250], [0.625, 0.875, 0.750], [0.125, 0.375, 0.750], [0.875, 0.625, 0.250], [0.026, 0.716, 0.820], [0.216, 0.896, 0.689], [0.293, 0.474, 0.189], [0.396, 0.207, 0.680], [0.604, 0.793, 0.320], [0.707, 0.526, 0.811], [0.784, 0.104, 0.311], [0.974, 0.284, 0.180]]
}